# 1
# ReHgAs4

A relaxed ReHgAs4 crystal (PBE, Alexandria via LeMat-Bulk).

```
ReHgAs4
1.0
0.000 3.878 3.878
3.878 0.000 3.878
3.878 3.878 0.000
Re Hg As
1 1 4
Direct
0.000 0.000 0.000 Re
0.250 0.250 0.250 Hg
0.122 0.626 0.626 As
0.626 0.122 0.626 As
0.626 0.626 0.122 As
0.626 0.626 0.626 As
```

## Properties
Magnetization, μB/f.u.: 1.19
Space-group type: F-43m, No. 216
E_form, meV/atom: 1047
Total energy, eV/atom: -4.177

# 2
# SrScAgTe3

A relaxed SrScAgTe3 crystal (PBE, Alexandria via LeMat-Bulk).

```
SrScAgTe3
1.0
8.582 0.000 0.000
0.000 4.332 0.000
-2.591 0.000 9.673
Sr Sc Ag Te
2 2 2 6
Direct
0.208 0.250 0.262 Sr
0.792 0.750 0.738 Sr
0.320 0.750 0.834 Sc
0.680 0.250 0.166 Sc
0.083 0.250 0.589 Ag
0.917 0.750 0.411 Ag
0.097 0.250 0.872 Te
0.275 0.750 0.533 Te
0.438 0.750 0.143 Te
0.562 0.250 0.857 Te
0.725 0.250 0.467 Te
0.903 0.750 0.128 Te
```

## Properties
Uncorrected formation energy, kJ/mol of formula units: -649
Magnetization, μB/f.u.: 0.00
Space-group type: P2_1/m, No. 11
Total energy, eV/atom: -4.502

# 3
# DyIn3Cu8

A relaxed DyIn3Cu8 crystal (PBE, Alexandria via LeMat-Bulk).

```
DyIn3Cu8
1.0
2.535 1.464 8.414
-2.535 1.464 8.414
0.000 -2.928 8.414
Dy In Cu
1 3 8
Direct
0.000 0.000 0.000 Dy
0.125 0.125 0.125 In
0.500 0.500 0.500 In
0.623 0.623 0.623 In
0.062 0.062 0.560 Cu
0.062 0.560 0.062 Cu
0.065 0.563 0.563 Cu
0.312 0.312 0.312 Cu
0.560 0.062 0.062 Cu
0.563 0.065 0.563 Cu
0.563 0.563 0.065 Cu
0.813 0.813 0.813 Cu
```

## Properties
Magnetization, μB/f.u.: 0.00
Space-group type: R3m, No. 160
Energy above the most stable polymorph in this dataset, meV per atom: 0
E_form, meV/atom: -146
Total energy, eV/atom: -3.945

# 4
# Th3Cu3Sb4

A relaxed Th3Cu3Sb4 crystal (PBE, Alexandria via LeMat-Bulk).

```
Th3Cu3Sb4
1.0
-4.892 4.892 4.892
4.892 -4.892 4.892
4.892 4.892 -4.892
Th Cu Sb
6 6 8
Direct
0.125 0.875 0.250 Th
0.250 0.125 0.875 Th
0.375 0.625 0.750 Th
0.625 0.750 0.375 Th
0.750 0.375 0.625 Th
0.875 0.250 0.125 Th
0.125 0.750 0.875 Cu
0.250 0.625 0.375 Cu
0.375 0.250 0.625 Cu
0.625 0.375 0.250 Cu
0.750 0.875 0.125 Cu
0.875 0.125 0.750 Cu
0.000 0.169 0.500 Sb
0.000 0.669 0.500 Sb
0.169 0.500 0.000 Sb
0.331 0.331 0.331 Sb
0.500 0.000 0.169 Sb
0.500 0.000 0.669 Sb
0.669 0.500 0.000 Sb
0.831 0.831 0.831 Sb
```

## Properties
Uncorrected formation energy, kJ/mol of formula units: -566
Magnetization, μB/f.u.: 0.00
Space-group type: I-43d, No. 220
Total energy, eV/atom: -5.690

# 5
# Hf2TiRu2

A relaxed Hf2TiRu2 crystal (PBE, Alexandria via LeMat-Bulk).

```
Hf2TiRu2
1.0
1.547 -9.507 0.000
1.547 9.507 0.000
0.000 0.000 3.076
Hf Ti Ru
2 1 2
Direct
0.170 0.830 0.000 Hf
0.830 0.170 0.000 Hf
0.000 0.000 0.000 Ti
0.418 0.582 0.500 Ru
0.582 0.418 0.500 Ru
```

## Properties
Magnetization, μB/f.u.: 0.00
Space-group type: Cmmm, No. 65
Energy above the most stable polymorph in this dataset, meV per atom: 0
E_form, meV/atom: -425
Total energy, eV/atom: -9.696

# 6
# MnAgRh2

A relaxed MnAgRh2 crystal (PBE, Alexandria via LeMat-Bulk).

```
MnAgRh2
1.0
1.459 -2.326 0.000
1.459 2.326 0.000
0.000 0.000 8.920
Mn Ag Rh
1 1 2
Direct
0.000 0.000 0.000 Mn
0.000 0.000 0.500 Ag
0.500 0.500 0.226 Rh
0.500 0.500 0.774 Rh
```

## Properties
Magnetization, μB/f.u.: 3.93
Space-group type: Cmmm, No. 65
Energy above the most stable polymorph in this dataset, meV per atom: 64
E_form, meV/atom: 108
Total energy, eV/atom: -6.573

# 7
# Pm2YBi2

A relaxed Pm2YBi2 crystal (PBE, Alexandria via LeMat-Bulk).

```
Pm2YBi2
1.0
2.251 -5.992 0.000
2.251 5.992 0.000
0.000 0.000 12.308
Pm Y Bi
4 2 4
Direct
0.047 0.953 0.500 Pm
0.336 0.664 0.697 Pm
0.664 0.336 0.197 Pm
0.953 0.047 0.000 Pm
0.346 0.654 0.365 Y
0.654 0.346 0.865 Y
0.021 0.979 0.752 Bi
0.255 0.745 0.020 Bi
0.745 0.255 0.520 Bi
0.979 0.021 0.252 Bi
```

## Properties
Magnetization, μB/f.u.: 0.00
Space-group type: Cmc2_1, No. 36
E_form, meV/atom: -643
Total energy, eV/atom: -5.389

# 8
# Nd3ScTl4S8

A relaxed Nd3ScTl4S8 crystal (PBE, Alexandria via LeMat-Bulk).

```
Nd3ScTl4S8
1.0
4.093 2.363 7.496
-4.093 2.363 7.496
0.000 -4.727 7.496
Nd Sc Tl S
3 1 4 8
Direct
0.000 0.500 0.500 Nd
0.500 0.000 0.500 Nd
0.500 0.500 0.000 Nd
0.000 0.000 0.000 Sc
0.000 0.000 0.500 Tl
0.000 0.500 0.000 Tl
0.500 0.000 0.000 Tl
0.500 0.500 0.500 Tl
0.223 0.223 0.752 S
0.223 0.752 0.223 S
0.248 0.777 0.777 S
0.264 0.264 0.264 S
0.736 0.736 0.736 S
0.752 0.223 0.223 S
0.777 0.248 0.777 S
0.777 0.777 0.248 S
```

## Properties
Uncorrected formation energy, kJ/mol of formula units: -2183
Magnetization, μB/f.u.: 0.00
Space-group type: R-3m, No. 166
Total energy, eV/atom: -5.359